i) A geometry-optimized Dy5Pt3 structure, computed with GGA-PBE.

abc: 8.454 8.454 6.185
angles: 90.00 90.00 120.00
Fractional coordinates of all 16 atoms:
Dy (0.000, 0.246, 0.250)
Dy (0.000, 0.754, 0.750)
Dy (0.246, 0.000, 0.250)
Dy (0.246, 0.246, 0.750)
Dy (0.333, 0.667, 0.000)
Dy (0.333, 0.667, 0.500)
Dy (0.667, 0.333, 0.000)
Dy (0.667, 0.333, 0.500)
Dy (0.754, 0.000, 0.750)
Dy (0.754, 0.754, 0.250)
Pt (0.000, 0.394, 0.750)
Pt (0.000, 0.606, 0.250)
Pt (0.394, 0.000, 0.750)
Pt (0.394, 0.394, 0.250)
Pt (0.606, 0.000, 0.250)
Pt (0.606, 0.606, 0.750)

Calculated values
The space group is P6_3/mcm. The value obtained for the density of states at the Fermi level is 0.61 states/eV/atom.

ii) A geometry-optimized Dy5Pt3 structure, computed with GGA-PBE.

abc: 11.025 11.025 6.479
angles: 90.00 90.00 90.00
Fractional coordinates of all 32 atoms:
Dy (0.043, 0.160, 0.122)
Dy (0.043, 0.340, 0.622)
Dy (0.160, 0.043, 0.622)
Dy (0.160, 0.457, 0.122)
Dy (0.250, 0.750, 0.000)
Dy (0.250, 0.750, 0.500)
Dy (0.340, 0.043, 0.122)
Dy (0.340, 0.457, 0.622)
Dy (0.457, 0.160, 0.622)
Dy (0.457, 0.340, 0.122)
Dy (0.543, 0.660, 0.878)
Dy (0.543, 0.840, 0.378)
Dy (0.660, 0.543, 0.378)
Dy (0.660, 0.957, 0.878)
Dy (0.750, 0.250, 0.000)
Dy (0.750, 0.250, 0.500)
Dy (0.840, 0.543, 0.878)
Dy (0.840, 0.957, 0.378)
Dy (0.957, 0.660, 0.378)
Dy (0.957, 0.840, 0.878)
Pt (0.096, 0.596, 0.750)
Pt (0.096, 0.904, 0.250)
Pt (0.250, 0.250, 0.382)
Pt (0.250, 0.250, 0.882)
Pt (0.404, 0.596, 0.250)
Pt (0.404, 0.904, 0.750)
Pt (0.596, 0.096, 0.250)
Pt (0.596, 0.404, 0.750)
Pt (0.750, 0.750, 0.118)
Pt (0.750, 0.750, 0.618)
Pt (0.904, 0.096, 0.750)
Pt (0.904, 0.404, 0.250)

Calculated values
The space group is P4/ncc. The value obtained for the density of states at the Fermi level is 1.02 states/eV/atom.

ii) is the most stable structure; the next one sits 2.6 kJ/mol of atoms above it.

i) A geometry-optimized Dy4Pt structure, computed with GGA-PBE.

abc: 7.731 7.731 7.731
angles: 60.00 60.00 60.00
Fractional coordinates of all 10 atoms:
Dy (0.205, 0.765, 0.765)
Dy (0.235, 0.235, 0.235)
Dy (0.235, 0.235, 0.795)
Dy (0.235, 0.795, 0.235)
Dy (0.765, 0.205, 0.765)
Dy (0.765, 0.765, 0.205)
Dy (0.765, 0.765, 0.765)
Dy (0.795, 0.235, 0.235)
Pt (0.375, 0.375, 0.375)
Pt (0.625, 0.625, 0.625)

Calculated values
The space group is Fd-3m. The value obtained for the density of states at the Fermi level is 1.63 states/eV/atom.

ii) A geometry-optimized Dy4Pt structure, computed with GGA-PBE.

abc: 7.302 7.302 7.296
angles: 106.08 106.08 116.44
Fractional coordinates of all 10 atoms:
Dy (0.005, 0.995, 0.500)
Dy (0.070, 0.479, 0.918)
Dy (0.404, 0.914, 0.817)
Dy (0.468, 0.560, 0.398)
Dy (0.479, 0.070, 0.418)
Dy (0.560, 0.468, 0.898)
Dy (0.914, 0.404, 0.317)
Dy (0.995, 0.005, 0.000)
Pt (0.612, 0.862, 0.159)
Pt (0.862, 0.612, 0.659)

Calculated values
The space group is Cc. The value obtained for the density of states at the Fermi level is 1.26 states/eV/atom.

iii) A geometry-optimized Dy4Pt structure, computed with GGA-PBE.

abc: 5.471 5.471 5.471
angles: 90.00 90.00 90.00
Fractional coordinates of all 5 atoms:
Dy (0.000, 0.000, 0.000)
Dy (0.000, 0.500, 0.500)
Dy (0.500, 0.000, 0.500)
Dy (0.500, 0.500, 0.000)
Pt (0.500, 0.500, 0.500)

Calculated values
The space group is Pm-3m. The value obtained for the density of states at the Fermi level is 1.71 states/eV/atom.

ii) is the most stable structure; the next one sits 15.5 kJ/mol of atoms above it.

i) A geometry-optimized DyPuPtRh structure, computed with GGA-PBE.

abc: 4.213 5.780 5.780
angles: 38.18 90.00 90.00
Fractional coordinates of all 4 atoms:
Dy (0.000, 0.000, 0.000)
Pu (0.500, 0.279, 0.279)
Pt (0.500, 0.555, 0.555)
Rh (0.000, 0.737, 0.737)

Calculated values
The space group is Amm2. The value obtained for the density of states at the Fermi level is 2.83 states/eV/atom.

ii) A geometry-optimized DyPuPtRh structure, computed with GGA-PBE.

abc: 4.901 4.901 4.901
angles: 60.00 60.00 60.00
Fractional coordinates of all 4 atoms:
Dy (0.000, 0.000, 0.000)
Pu (0.500, 0.500, 0.500)
Pt (0.750, 0.750, 0.750)
Rh (0.250, 0.250, 0.250)

Calculated values
The space group is F-43m. The value obtained for the density of states at the Fermi level is 2.58 states/eV/atom.

i) is the most stable structure; the next one sits 6.7 kJ/mol of atoms above it.

i) A geometry-optimized DyPtRh structure, computed with GGA-PBE.

abc: 5.387 5.387 5.387
angles: 120.11 120.04 89.87
Fractional coordinates of all 6 atoms:
Dy (0.374, 0.124, 0.250)
Dy (0.626, 0.876, 0.750)
Pt (0.000, 0.500, 0.500)
Pt (0.500, 0.500, 0.000)
Rh (0.000, 0.000, 0.500)
Rh (0.000, 0.500, 0.000)

Calculated values
The space group is Imma. The value obtained for the density of states at the Fermi level is 0.82 states/eV/atom.

ii) A geometry-optimized DyPtRh structure, computed with GGA-PBE.

abc: 4.351 4.351 3.705
angles: 90.00 90.00 120.00
Fractional coordinates of all 3 atoms:
Dy (0.000, 0.000, 0.000)
Pt (0.333, 0.667, 0.500)
Rh (0.667, 0.333, 0.500)

Calculated values
The space group is P-6m2. The value obtained for the density of states at the Fermi level is 0.38 states/eV/atom.

i) is the most stable structure; the next one sits 11.0 kJ/mol of atoms above it.

i) A geometry-optimized Dy7Pt2Rh2 structure, computed with GGA-PBE.

abc: 6.631 6.631 6.878
angles: 90.00 90.00 102.65
Fractional coordinates of all 11 atoms:
Dy (0.000, 0.000, 0.000)
Dy (0.000, 0.500, 0.261)
Dy (0.000, 0.500, 0.739)
Dy (0.500, 0.000, 0.261)
Dy (0.500, 0.000, 0.739)
Dy (0.500, 0.500, 0.255)
Dy (0.500, 0.500, 0.745)
Pt (0.225, 0.225, 0.500)
Pt (0.775, 0.775, 0.500)
Rh (0.279, 0.721, 0.000)
Rh (0.721, 0.279, 0.000)

Calculated values
The space group is Cmmm. The value obtained for the density of states at the Fermi level is 0.87 states/eV/atom.

ii) A geometry-optimized Dy7Pt2Rh2 structure, computed with GGA-PBE.

abc: 9.051 9.051 9.051
angles: 155.15 67.67 118.20
Fractional coordinates of all 11 atoms:
Dy (0.000, 0.000, 0.000)
Dy (0.085, 0.395, 0.690)
Dy (0.134, 0.763, 0.371)
Dy (0.392, 0.763, 0.629)
Dy (0.492, 0.606, 0.886)
Dy (0.705, 0.395, 0.310)
Dy (0.721, 0.606, 0.114)
Pt (0.351, 0.351, 0.000)
Pt (0.777, 0.277, 0.500)
Rh (0.338, 0.098, 0.240)
Rh (0.858, 0.098, 0.760)

Calculated values
The space group is Imm2. The value obtained for the density of states at the Fermi level is 0.89 states/eV/atom.

ii) is the most stable structure; the next one sits 18.3 kJ/mol of atoms above it.

i) A geometry-optimized SmDyPtRh structure, computed with GGA-PBE.

abc: 4.947 4.947 4.947
angles: 60.00 60.00 60.00
Fractional coordinates of all 4 atoms:
Sm (0.000, 0.000, 0.000)
Dy (0.500, 0.500, 0.500)
Pt (0.250, 0.250, 0.250)
Rh (0.750, 0.750, 0.750)

Calculated values
The space group is F-43m. The value obtained for the density of states at the Fermi level is 0.47 states/eV/atom.

ii) A geometry-optimized SmDyPtRh structure, computed with GGA-PBE.

abc: 4.366 5.675 5.675
angles: 39.50 90.00 90.00
Fractional coordinates of all 4 atoms:
Sm (0.000, 0.000, 0.000)
Dy (0.500, 0.718, 0.718)
Pt (0.500, 0.440, 0.440)
Rh (0.000, 0.266, 0.266)

Calculated values
The space group is Amm2. The value obtained for the density of states at the Fermi level is 0.57 states/eV/atom.

ii) is the most stable structure; the next one sits 3.8 kJ/mol of atoms above it.

i) A geometry-optimized TbDyPtRh structure, computed with GGA-PBE.

abc: 4.332 5.643 5.643
angles: 39.28 90.00 90.00
Fractional coordinates of all 4 atoms:
Tb (0.000, 0.000, 0.000)
Dy (0.500, 0.719, 0.719)
Pt (0.500, 0.443, 0.443)
Rh (0.000, 0.267, 0.267)

Calculated values
The space group is Amm2. The value obtained for the density of states at the Fermi level is 0.51 states/eV/atom.

ii) A geometry-optimized TbDyPtRh structure, computed with GGA-PBE.

abc: 4.904 4.904 4.904
angles: 60.00 60.00 60.00
Fractional coordinates of all 4 atoms:
Tb (0.000, 0.000, 0.000)
Dy (0.500, 0.500, 0.500)
Pt (0.750, 0.750, 0.750)
Rh (0.250, 0.250, 0.250)

Calculated values
The space group is F-43m. The value obtained for the density of states at the Fermi level is 0.36 states/eV/atom.

i) is the most stable structure; the next one sits 2.1 kJ/mol of atoms above it.

i) A geometry-optimized DyThPtRh structure, computed with GGA-PBE.

abc: 5.012 5.012 5.012
angles: 60.00 60.00 60.00
Fractional coordinates of all 4 atoms:
Dy (0.000, 0.000, 0.000)
Th (0.500, 0.500, 0.500)
Pt (0.250, 0.250, 0.250)
Rh (0.750, 0.750, 0.750)

Calculated values
The space group is F-43m. The value obtained for the density of states at the Fermi level is 1.18 states/eV/atom.

ii) A geometry-optimized DyThPtRh structure, computed with GGA-PBE.

abc: 4.337 5.811 5.811
angles: 38.48 90.00 90.00
Fractional coordinates of all 4 atoms:
Dy (0.000, 0.000, 0.000)
Th (0.500, 0.726, 0.726)
Pt (0.500, 0.451, 0.451)
Rh (0.000, 0.263, 0.263)

Calculated values
The space group is Amm2. The value obtained for the density of states at the Fermi level is 0.76 states/eV/atom.

ii) is the most stable structure; the next one sits 16.9 kJ/mol of atoms above it.